# 1
A plane-wave DFT calculation with PBE-GGA was carried out for Tb2CeHo after structural relaxation.

Summary:
As for the space group: No. 123. As for the relative energy among the computed polymorphs: 10.5 meV per atom. The calculation puts the total energy at -4.877 eV per atom. The calculation puts the formation energy at 0.07 eV per atom.

Cell lengths 5.0063, 4.9947, 4.9947 Å; angles 90.00, 90.00, 90.00 degrees
With the nearest neighbours (Å) after each atom.
Element x y z (fractional)
1 Tb 0.0000 0.0000 0.5000  4 Tb 3.53, 4 Ce 3.54, 4 Ho 3.54
2 Tb 0.0000 0.5000 0.0000  4 Tb 3.53, 4 Ce 3.54, 4 Ho 3.54
3 Ho 0.5000 0.5000 0.5000  4 Ce 3.53, 8 Tb 3.54
4 Ce 0.5000 0.0000 0.0000  4 Ho 3.53, 8 Tb 3.54

# 2
A plane-wave DFT calculation with PBE-GGA was carried out for Tb8CeHo3 after structural relaxation.

Summary:
As for the space group: No. 121. The calculation puts the total energy at -4.109 eV per atom. The calculation puts the formation energy at 0.62 eV per atom.

Cell lengths 8.3202, 8.3202, 8.3202 Å; angles 94.12, 117.65, 117.65 degrees
With the nearest neighbours (Å) after each atom.
Element x y z (fractional)
1 Tb 0.4679 0.2069 0.2069  1 Ce 2.87, 1 Tb 3.18
2 Tb 0.5321 0.7389 0.7389  1 Ce 2.87, 1 Tb 3.18
3 Tb 0.0000 0.7931 0.2611  1 Ce 2.87, 1 Tb 3.18
4 Tb 0.0000 0.2611 0.7931  1 Ce 2.87, 1 Tb 3.18
5 Tb 0.2489 0.3622 0.3622  3 Tb 3.03-3.29, 1 Ce 3.09, 1 Ho 3.34
6 Tb 0.7511 0.1133 0.1133  3 Tb 3.03-3.29, 1 Ce 3.09, 1 Ho 3.34
7 Tb 0.0000 0.6378 0.8867  3 Tb 3.03-3.29, 1 Ce 3.09, 1 Ho 3.34
8 Tb 0.0000 0.8867 0.6378  3 Tb 3.03-3.29, 1 Ce 3.09, 1 Ho 3.34
9 Ce 0.0000 0.0000 0.0000  8 Tb 2.87-3.09
10 Ho 0.5000 0.7500 0.2500  4 Tb 3.41
11 Ho 0.5000 0.2500 0.7500  4 Tb 3.41
12 Ho 0.0000 0.5000 0.5000  8 Tb 3.26-3.34

# 3
A plane-wave DFT calculation with PBE-GGA was carried out for Tb2CeHo6 after structural relaxation.

Summary:
As for the space group: No. 15. As for the relative energy among the computed polymorphs: 0.0 meV per atom. The calculation puts the total energy at -4.563 eV per atom. The calculation puts the formation energy at 0.18 eV per atom.

Cell lengths 6.1327, 6.1313, 17.9231 Å; angles 111.07, 111.08, 92.52 degrees
With the nearest neighbours (Å) after each atom.
Element x y z (fractional)
1 Tb 0.4214 0.4341 0.3136  1 Tb 3.10, 1 Ce 3.20, 5 Ho 3.26-3.42
2 Tb 0.5662 0.5784 0.1865  1 Tb 3.10, 1 Ce 3.20, 5 Ho 3.26-3.42
3 Tb 0.5786 0.5659 0.6864  1 Tb 3.10, 1 Ce 3.20, 5 Ho 3.26-3.42
4 Tb 0.4338 0.4216 0.8135  1 Tb 3.10, 1 Ce 3.20, 5 Ho 3.26-3.42
5 Ce 0.0255 0.9745 0.2500  2 Tb 3.20, 2 Ho 3.49
6 Ce 0.9745 0.0255 0.7500  2 Tb 3.20, 2 Ho 3.49
7 Ho 0.3066 0.2396 0.4772  1 Tb 3.26, 7 Ho 3.38-3.61, 1 Ce 3.49
8 Ho 0.7600 0.6936 0.0227  1 Tb 3.26, 7 Ho 3.38-3.61, 1 Ce 3.49
9 Ho 0.6934 0.7604 0.5228  1 Tb 3.26, 7 Ho 3.38-3.61, 1 Ce 3.49
10 Ho 0.2400 0.3064 0.9773  1 Tb 3.26, 7 Ho 3.38-3.61, 1 Ce 3.49
11 Ho 0.0411 0.6872 0.8824  3 Tb 3.32-3.57, 5 Ho 3.34-3.60, 1 Ce 3.61
12 Ho 0.3127 0.9587 0.6176  3 Tb 3.32-3.57, 5 Ho 3.34-3.60, 1 Ce 3.61
13 Ho 0.9589 0.3128 0.1176  3 Tb 3.32-3.57, 5 Ho 3.34-3.60, 1 Ce 3.61
14 Ho 0.6873 0.0413 0.3824  3 Tb 3.32-3.57, 5 Ho 3.34-3.60, 1 Ce 3.61
15 Ho 0.3779 0.9835 0.1148  3 Tb 3.26-3.55, 5 Ho 3.34-3.61
16 Ho 0.0164 0.6220 0.3853  3 Tb 3.26-3.54, 5 Ho 3.34-3.61
17 Ho 0.6221 0.0165 0.8852  3 Tb 3.26-3.55, 5 Ho 3.34-3.61
18 Ho 0.9836 0.3780 0.6147  3 Tb 3.26-3.54, 5 Ho 3.34-3.61

# 4
A plane-wave DFT calculation with PBE-GGA was carried out for Tb2CeHo after structural relaxation.

Summary:
As for the space group: No. 225. As for the relative energy among the computed polymorphs: 133.7 meV per atom. The calculation puts the total energy at -4.753 eV per atom. The calculation puts the formation energy at 0.19 eV per atom.

Cell lengths 5.6596, 5.6596, 5.6596 Å; angles 60.00, 60.00, 60.00 degrees
With the nearest neighbours (Å) after each atom.
Element x y z (fractional)
1 Tb 0.2500 0.2500 0.2500  4 Ce 3.47, 4 Ho 3.47
2 Tb 0.7500 0.7500 0.7500  4 Ce 3.47, 4 Ho 3.47
3 Ho 0.5000 0.5000 0.5000  8 Tb 3.47
4 Ce 0.0000 0.0000 0.0000  8 Tb 3.47

# 5
A plane-wave DFT calculation with PBE-GGA was carried out for TbCeHo2 after structural relaxation.

Summary:
As for the space group: No. 225. As for the relative energy among the computed polymorphs: 128.3 meV per atom. The calculation puts the total energy at -4.761 eV per atom. The calculation puts the formation energy at 0.17 eV per atom.

Cell lengths 5.6407, 5.6407, 5.6407 Å; angles 60.00, 60.00, 60.00 degrees
With the nearest neighbours (Å) after each atom.
Element x y z (fractional)
1 Tb 0.0000 0.0000 0.0000  8 Ho 3.45
2 Ho 0.2500 0.2500 0.2500  4 Tb 3.45, 4 Ce 3.45
3 Ho 0.7500 0.7500 0.7500  4 Tb 3.45, 4 Ce 3.45
4 Ce 0.5000 0.5000 0.5000  8 Ho 3.45

# 6
A plane-wave DFT calculation with PBE-GGA was carried out for Tb3CeHo6 after structural relaxation.

Summary:
As for the space group: No. 36. As for the relative energy among the computed polymorphs: 0.0 meV per atom. The calculation puts the total energy at -4.568 eV per atom. The calculation puts the formation energy at 0.16 eV per atom.

Cell lengths 6.1415, 10.8636, 10.8636 Å; angles 119.30, 90.00, 90.00 degrees
With the nearest neighbours (Å) after each atom.
Element x y z (fractional)
1 Tb 0.4520 0.9398 0.7176  1 Ce 3.21, 5 Ho 3.29-3.55
2 Tb 0.9520 0.7176 0.9398  1 Ce 3.21, 5 Ho 3.29-3.55
3 Tb 0.0672 0.3883 0.6117  5 Ho 3.34-3.60, 1 Ce 3.43, 2 Tb 3.68
4 Tb 0.5672 0.6117 0.3883  5 Ho 3.34-3.60, 1 Ce 3.43, 2 Tb 3.68
5 Tb 0.9520 0.0602 0.2824  1 Ce 3.21, 5 Ho 3.29-3.55
6 Tb 0.4520 0.2824 0.0602  1 Ce 3.21, 5 Ho 3.29-3.55
7 Ce 0.1453 0.2073 0.7927  7 Ho 3.18-3.49, 3 Tb 3.21-3.43
8 Ce 0.6453 0.7927 0.2073  7 Ho 3.18-3.49, 3 Tb 3.21-3.43
9 Ho 0.0327 0.7093 0.6182  5 Ho 3.37-3.76, 4 Tb 3.38-3.60
10 Ho 0.5327 0.6182 0.7093  5 Ho 3.37-3.76, 4 Tb 3.38-3.60
11 Ho 0.3748 0.5439 0.9631  2 Ce 3.18-3.49, 5 Ho 3.22-3.43, 2 Tb 3.29-3.51
12 Ho 0.8748 0.9631 0.5439  2 Ce 3.18-3.49, 5 Ho 3.22-3.43, 2 Tb 3.29-3.51
13 Ho 0.4186 0.9509 0.0491  1 Ce 3.28, 4 Tb 3.55-3.62, 2 Ho 3.58
14 Ho 0.6353 0.2800 0.7200  4 Ho 3.22-3.35, 2 Ce 3.30-3.42, 1 Tb 3.34
15 Ho 0.1353 0.7200 0.2800  4 Ho 3.22-3.35, 2 Ce 3.30-3.42, 1 Tb 3.34
16 Ho 0.9186 0.0491 0.9509  1 Ce 3.28, 4 Tb 3.55-3.62, 2 Ho 3.58
17 Ho 0.3748 0.0369 0.4561  2 Ce 3.18-3.49, 5 Ho 3.22-3.43, 2 Tb 3.29-3.51
18 Ho 0.8748 0.4561 0.0369  2 Ce 3.18-3.49, 5 Ho 3.22-3.43, 2 Tb 3.29-3.51
19 Ho 0.0327 0.3818 0.2907  5 Ho 3.37-3.76, 4 Tb 3.38-3.60
20 Ho 0.5327 0.2907 0.3818  5 Ho 3.37-3.76, 4 Tb 3.38-3.60

# 7
A plane-wave DFT calculation with PBE-GGA was carried out for Tb4CeHo7 after structural relaxation.

Summary:
As for the space group: No. 12. As for the relative energy among the computed polymorphs: 132.6 meV per atom. The calculation puts the total energy at -4.426 eV per atom. The calculation puts the formation energy at 0.28 eV per atom.

Cell lengths 5.8079, 11.5946, 6.6450 Å; angles 83.14, 64.09, 75.50 degrees
With the nearest neighbours (Å) after each atom.
Element x y z (fractional)
1 Tb 0.6324 0.2249 0.5103  7 Ho 3.35-3.56, 2 Tb 3.63
2 Tb 0.3676 0.7751 0.4897  7 Ho 3.35-3.56, 2 Tb 3.63
3 Tb 0.7511 0.6846 0.8132  5 Ho 3.25-3.64, 2 Tb 3.63
4 Tb 0.2489 0.3154 0.1868  5 Ho 3.25-3.64, 2 Tb 3.63
5 Ce 0.0000 0.0000 0.0000  4 Ho 2.90-3.04
6 Ho 0.7934 0.9237 0.4895  1 Ce 3.04, 4 Ho 3.18-3.37, 4 Tb 3.29-3.38
7 Ho 0.2066 0.0763 0.5105  1 Ce 3.04, 4 Ho 3.18-3.37, 4 Tb 3.29-3.38
8 Ho 0.0607 0.6731 0.2055  4 Ho 3.27-3.51, 3 Tb 3.56-3.64
9 Ho 0.9393 0.3269 0.7945  4 Ho 3.27-3.51, 3 Tb 3.56-3.64
10 Ho 0.3653 0.5021 0.7673  4 Ho 3.20-3.51, 5 Tb 3.25-3.57
11 Ho 0.5000 0.0000 0.0000  2 Ce 2.90, 2 Ho 3.18
12 Ho 0.6347 0.4979 0.2327  4 Ho 3.20-3.51, 5 Tb 3.25-3.57

# 8
A plane-wave DFT calculation with PBE-GGA was carried out for Tb6CeHo10 after structural relaxation.

Summary:
As for the space group: No. 162. The calculation puts the total energy at -4.529 eV per atom. The calculation puts the formation energy at 0.15 eV per atom.

Cell lengths 6.7933, 9.6014, 9.6014 Å; angles 120.00, 90.00, 90.00 degrees
With the nearest neighbours (Å) after each atom.
Element x y z (fractional)
1 Tb 0.7000 0.3785 0.3785  9 Ho 3.30-3.65, 1 Tb 3.58
2 Tb 0.7000 0.0000 0.6215  9 Ho 3.30-3.65, 1 Tb 3.58
3 Tb 0.7000 0.6215 0.0000  9 Ho 3.30-3.65, 1 Tb 3.58
4 Tb 0.3000 0.6215 0.6215  9 Ho 3.30-3.65, 1 Tb 3.58
5 Tb 0.3000 0.0000 0.3785  9 Ho 3.30-3.65, 1 Tb 3.58
6 Tb 0.3000 0.3785 0.0000  9 Ho 3.30-3.65, 1 Tb 3.58
7 Ce 0.5000 0.0000 0.0000  6 Ho 3.38
8 Ho 0.8158 0.7275 0.7275  5 Tb 3.34-3.65, 1 Ce 3.38, 2 Ho 3.62
9 Ho 0.8158 0.0000 0.2725  5 Tb 3.34-3.65, 1 Ce 3.38, 2 Ho 3.62
10 Ho 0.8158 0.2725 0.0000  5 Tb 3.34-3.65, 1 Ce 3.38, 2 Ho 3.62
11 Ho 0.1842 0.2725 0.2725  5 Tb 3.34-3.65, 1 Ce 3.38, 2 Ho 3.62
12 Ho 0.1842 0.0000 0.7275  5 Tb 3.34-3.65, 1 Ce 3.38, 2 Ho 3.62
13 Ho 0.1842 0.7275 0.0000  5 Tb 3.34-3.65, 1 Ce 3.38, 2 Ho 3.62
14 Ho 0.5000 0.3333 0.6667  6 Tb 3.30, 2 Ho 3.40
15 Ho 0.5000 0.6667 0.3333  6 Tb 3.30, 2 Ho 3.40
16 Ho 0.0000 0.6667 0.3333  8 Ho 3.40-3.74, 6 Tb 3.63
17 Ho 0.0000 0.3333 0.6667  8 Ho 3.40-3.74, 6 Tb 3.63

# 9
A plane-wave DFT calculation with PBE-GGA was carried out for Tb5Ce2Ho4 after structural relaxation.

Summary:
As for the space group: No. 12. The calculation puts the total energy at -4.700 eV per atom. The calculation puts the formation energy at 0.15 eV per atom.

Cell lengths 11.9985, 11.9985, 9.0016 Å; angles 66.42, 66.42, 17.09 degrees
With the nearest neighbours (Å) after each atom.
Element x y z (fractional)
1 Tb 0.1087 0.1087 0.5808  1 Ce 3.31, 3 Tb 3.37-3.57, 2 Ho 3.37-3.45
2 Tb 0.8913 0.8913 0.4192  1 Ce 3.31, 3 Tb 3.37-3.57, 2 Ho 3.37-3.45
3 Tb 0.1375 0.1375 0.9178  3 Ho 3.21-3.46, 2 Ce 3.29, 5 Tb 3.37-3.57
4 Tb 0.5000 0.5000 0.0000  6 Tb 3.52-3.57, 4 Ho 3.71
5 Tb 0.8625 0.8625 0.0822  3 Ho 3.21-3.46, 2 Ce 3.29, 5 Tb 3.37-3.57
6 Ce 0.2601 0.2601 0.3744  2 Ce 2.76
7 Ce 0.7399 0.7399 0.6256  2 Ce 2.76
8 Ho 0.6860 0.6860 0.1747  4 Tb 3.46-3.81, 2 Ce 3.47, 6 Ho 3.53-3.82
9 Ho 0.9541 0.9541 0.7042  3 Tb 3.21-3.45, 5 Ho 3.43-3.57
10 Ho 0.3140 0.3140 0.8253  4 Tb 3.46-3.81, 2 Ce 3.47, 6 Ho 3.53-3.82
11 Ho 0.0459 0.0459 0.2958  3 Tb 3.21-3.45, 5 Ho 3.43-3.57

# 10
A plane-wave DFT calculation with PBE-GGA was carried out for TbCeHo2 after structural relaxation.

Summary:
As for the space group: No. 123. As for the relative energy among the computed polymorphs: 19.9 meV per atom. The calculation puts the total energy at -4.869 eV per atom. The calculation puts the formation energy at 0.06 eV per atom.

Cell lengths 3.5193, 3.5193, 9.9746 Å; angles 90.00, 90.00, 90.00 degrees
With the nearest neighbours (Å) after each atom.
Element x y z (fractional)
1 Tb 0.5000 0.5000 0.5000  4 Tb 3.52, 8 Ho 3.56
2 Ho 0.0000 0.0000 0.7546  4 Ce 3.49, 4 Ho 3.52, 4 Tb 3.56
3 Ho 0.0000 0.0000 0.2454  4 Ce 3.49, 4 Ho 3.52, 4 Tb 3.56
4 Ce 0.5000 0.5000 0.0000  8 Ho 3.49, 4 Ce 3.52

# 11
A plane-wave DFT calculation with PBE-GGA was carried out for Tb4CeHo5 after structural relaxation.

Summary:
As for the space group: No. 12. As for the relative energy among the computed polymorphs: 0.0 meV per atom. The calculation puts the total energy at -4.642 eV per atom. The calculation puts the formation energy at 0.09 eV per atom.

Cell lengths 3.6531, 8.1656, 10.9661 Å; angles 97.08, 99.59, 90.00 degrees
With the nearest neighbours (Å) after each atom.
Element x y z (fractional)
1 Tb 0.3136 0.9463 0.6272  5 Ho 3.44-3.55, 6 Tb 3.47-3.65
2 Tb 0.8882 0.6677 0.7763  6 Ho 3.45-3.68, 4 Tb 3.47-3.65, 2 Ce 3.86
3 Tb 0.6864 0.0537 0.3728  5 Ho 3.44-3.55, 6 Tb 3.47-3.65
4 Tb 0.1118 0.3323 0.2237  6 Ho 3.45-3.68, 4 Tb 3.47-3.65, 2 Ce 3.86
5 Ce 0.5000 0.0000 0.0000  4 Ho 3.55, 2 Ce 3.65, 4 Tb 3.86
6 Ho 0.7172 0.6414 0.4344  6 Ho 3.39-3.65, 6 Tb 3.51-3.68
7 Ho 0.9040 0.2422 0.8081  6 Ho 3.31-3.65, 3 Tb 3.44-3.53, 2 Ce 3.55
8 Ho 0.0960 0.7578 0.1919  6 Ho 3.31-3.65, 3 Tb 3.44-3.53, 2 Ce 3.55
9 Ho 0.5000 0.5000 0.0000  6 Ho 3.31-3.65, 4 Tb 3.45
10 Ho 0.2828 0.3586 0.5656  6 Ho 3.39-3.65, 6 Tb 3.51-3.68

# 12
A plane-wave DFT calculation with PBE-GGA was carried out for Tb3CeHo after structural relaxation.

Summary:
As for the space group: No. 62. As for the relative energy among the computed polymorphs: 0.0 meV per atom. The calculation puts the total energy at -4.717 eV per atom. The calculation puts the formation energy at 0.16 eV per atom.

Cell lengths 9.3275, 9.3521, 7.3336 Å; angles 90.00, 90.00, 90.00 degrees
With the nearest neighbours (Å) after each atom.
Element x y z (fractional)
1 Tb 0.8729 0.1271 0.0048  3 Ce 3.20-3.38, 4 Tb 3.24-3.38
2 Tb 0.6271 0.6271 0.5048  3 Ce 3.20-3.38, 4 Tb 3.24-3.38
3 Tb 0.6271 0.6271 0.9952  3 Ce 3.20-3.38, 4 Tb 3.24-3.38
4 Tb 0.1271 0.8729 0.5048  3 Ce 3.20-3.38, 4 Tb 3.24-3.38
5 Tb 0.1271 0.8729 0.9952  3 Ce 3.20-3.38, 4 Tb 3.24-3.38
6 Tb 0.3729 0.3729 0.4952  3 Ce 3.20-3.38, 4 Tb 3.24-3.38
7 Tb 0.3729 0.3729 0.0048  3 Ce 3.20-3.38, 4 Tb 3.24-3.38
8 Tb 0.8729 0.1271 0.4952  3 Ce 3.20-3.38, 4 Tb 3.24-3.38
9 Tb 0.6715 0.3260 0.7500  6 Tb 3.24-3.38
10 Tb 0.8285 0.8260 0.2500  6 Tb 3.24-3.38
11 Tb 0.3285 0.6740 0.2500  6 Tb 3.24-3.38
12 Tb 0.1715 0.1740 0.7500  6 Tb 3.24-3.38
13 Ce 0.3258 0.6709 0.7500  6 Tb 3.20-3.38
14 Ce 0.1742 0.1709 0.2500  6 Tb 3.20-3.38
15 Ce 0.6742 0.3291 0.2500  6 Tb 3.20-3.38
16 Ce 0.8258 0.8291 0.7500  6 Tb 3.20-3.38
17 Ho 0.0000 0.5000 0.0000  2 Ho 3.67, 8 Tb 3.68-3.92, 4 Ce 3.89-3.93
18 Ho 0.5000 0.0000 0.5000  2 Ho 3.67, 8 Tb 3.68-3.92, 4 Ce 3.89-3.93
19 Ho 0.5000 0.0000 0.0000  2 Ho 3.67, 8 Tb 3.68-3.92, 4 Ce 3.89-3.93
20 Ho 0.0000 0.5000 0.5000  2 Ho 3.67, 8 Tb 3.68-3.92, 4 Ce 3.89-3.93